This record from Alexandria via LeMat-Bulk describes crystalline Pm3Sn3Hg at its relaxed geometry. The functional is PBE-GGA.

abc: 4.6243 6.3251 14.8089
angles: 82.28 81.02 68.56
Fractional positions:
Pm (0.5141, 0.3469, 0.6250)
Pm (0.4859, 0.6531, 0.3750)
Pm (0.2721, 0.2292, 0.2266)
Pm (0.7279, 0.7708, 0.7734)
Pm (0.3939, 0.2880, 0.9241)
Pm (0.6061, 0.7120, 0.0759)
Sn (0.8655, 0.7264, 0.5426)
Sn (0.1345, 0.2736, 0.4574)
Sn (0.1195, 0.8363, 0.9248)
Sn (0.8805, 0.1637, 0.0752)
Sn (0.0032, 0.7714, 0.2222)
Sn (0.9968, 0.2286, 0.7778)
Hg (0.7766, 0.0706, 0.3762)
Hg (0.2234, 0.9294, 0.6238)

Values from the calculation:
For the density of states at the Fermi level, the calculation gives 9.80 states/eV per cell. The calculated density comes out at 8.3 g/cm3. Its total energy is -62.44 eV/cell. Its crystal system is monoclinic. As for the formation energy: -0.666 eV/atom. Its space group is C2/m, No. 12.